# 1
Ti2Al3V3: relaxed, PBE-GGA.

Properties
Energy of formation from the pure elements   -0.233 eV per atom
DOS at the Fermi energy   0.7532 states/eV/atom
Energy   -7.03 eV/atom

Cell lengths 3.605, 4.084, 8.167 Å; angles 90.00, 90.00, 90.00 degrees
Atoms (fractional coordinates):
1 Ti 0.000 0.000 0.247
2 Ti 0.000 0.000 0.753
3 Al 0.000 0.500 0.500
4 Al 0.500 0.000 0.000
5 Al 0.500 0.000 0.500
6 V 0.500 0.500 0.234
7 V 0.500 0.500 0.766
8 V 0.000 0.500 0.000

---

# 2
ErCdF4: relaxed, PBE-GGA.

Properties
DOS at the Fermi energy   0.1566 states/eV/atom
Energy   -5.25 eV/atom

Cell lengths 6.588, 6.588, 6.588 Å; angles 110.18, 110.18, 108.05 degrees
Atoms (fractional coordinates):
1 Er 0.749 0.749 0.000
2 Er 0.499 0.999 0.500
3 Cd 0.274 0.274 0.000
4 Cd 0.024 0.524 0.500
5 F 0.289 0.976 0.687
6 F 0.699 0.409 0.710
7 F 0.726 0.539 0.187
8 F 0.159 0.949 0.210
9 F 0.353 0.539 0.813
10 F 0.739 0.949 0.790
11 F 0.699 0.989 0.290
12 F 0.289 0.603 0.313

---

# 3
H5PbCI3N2: relaxed, PBE-GGA.

Properties
DOS at the Fermi energy   0.0000 states/eV/atom
Energy   -4.63 eV/atom

Cell lengths 6.403, 6.541, 6.577 Å; angles 90.00, 90.00, 90.00 degrees
Atoms (fractional coordinates):
1 H 0.277 0.500 0.697
2 H 0.277 0.500 0.303
3 H 0.699 0.500 0.500
4 H 0.527 0.500 0.196
5 H 0.527 0.500 0.804
6 Pb 0.945 0.000 0.000
7 C 0.528 0.500 0.500
8 I 0.956 0.000 0.500
9 I 0.440 0.000 0.000
10 I 0.922 0.500 0.000
11 N 0.435 0.500 0.322
12 N 0.435 0.500 0.678

---

# 4
PbSeBr2: relaxed, PBE-GGA.

Properties
Relative energy among the computed polymorphs   436 meV per atom
DOS at the Fermi energy   1.5468 states/eV/atom
Energy   -2.66 eV/atom

Cell lengths 5.331, 5.331, 5.331 Å; angles 60.00, 60.00, 60.00 degrees
Atoms (fractional coordinates):
1 Br 0.000 0.000 0.000
2 Br 0.250 0.250 0.250
3 Pb 0.500 0.500 0.500
4 Se 0.750 0.750 0.750